{"formula": "KGePCl2", "functional": "GGA-PBE", "state": "relaxed", "raw_formation_energy_ev_per_atom": -0.5090, "space_group": "No. 123", "total_magnetization_mub_per_atom": 0.200, "polymorph_energy_ev_per_fu": 0.00, "final_energy_ev_per_atom": -3.47, "lattice": [[-1.5287, -5.1005, 0.8274], [4.1949, -0.7212, 3.3045], [-2.6466, 1.3873, 3.6626]], "species": ["P", "Ge", "K", "Cl", "Cl"], "frac_coords": [[0.0000, 0.0000, 0.5000], [0.0000, 0.0000, 0.0000], [0.5000, 0.5000, 0.5000], [0.0000, 0.5000, 0.0000], [0.5000, 0.0000, 0.0000]]}

{"formula": "K2GePbCl6", "functional": "GGA-PBE", "state": "relaxed", "raw_formation_energy_ev_per_atom": -1.3808, "space_group": "No. 1", "total_magnetization_mub_per_atom": 0.000, "final_energy_ev_per_atom": -3.54, "lattice": [[7.7069, 0.0044, -0.0020], [3.8572, 6.6881, -0.0048], [3.8523, 2.2275, 6.3648]], "species": ["K", "K", "Ge", "Pb", "Cl", "Cl", "Cl", "Cl", "Cl", "Cl"], "frac_coords": [[0.5397, 0.5393, 0.3810], [0.0350, 0.0342, 0.8970], [0.3290, 0.3289, 0.0132], [0.8229, 0.8231, 0.5311], [0.5979, 0.1671, 0.2743], [0.1668, 0.9604, 0.2748], [0.9601, 0.5996, 0.2733], [0.4486, 0.6437, 0.7906], [0.6447, 0.1172, 0.7901], [0.1170, 0.4481, 0.7898]]}

{"formula": "KGe2PbCl8", "functional": "GGA-PBE", "state": "relaxed", "raw_formation_energy_ev_per_atom": -1.0144, "space_group": "No. 2", "total_magnetization_mub_per_atom": 0.000, "final_energy_ev_per_atom": -3.42, "lattice": [[6.8292, 0.3535, 0.1499], [0.4134, 6.5700, 0.0813], [0.1872, 0.1178, 9.0689]], "species": ["K", "Ge", "Ge", "Pb", "Cl", "Cl", "Cl", "Cl", "Cl", "Cl", "Cl", "Cl"], "frac_coords": [[0.0000, 0.0000, 0.5000], [0.4521, 0.4404, 0.7601], [0.5479, 0.5596, 0.2399], [0.0000, 0.0000, 0.0000], [0.2033, 0.7644, 0.2239], [0.6829, 0.7377, 0.0395], [0.8194, 0.2553, 0.2290], [0.7967, 0.2356, 0.7761], [0.3171, 0.2623, 0.9605], [0.1806, 0.7447, 0.7710], [0.6506, 0.7199, 0.4382], [0.3494, 0.2801, 0.5618]]}

{"formula": "KPrGe2Cl8", "functional": "GGA-PBE", "state": "relaxed", "raw_formation_energy_ev_per_atom": -1.4705, "space_group": "No. 2", "total_magnetization_mub_per_atom": 0.000, "final_energy_ev_per_atom": -3.96, "lattice": [[6.8954, 0.1890, 0.1790], [0.2460, 6.3976, 0.0820], [0.2331, 0.1212, 9.0614]], "species": ["K", "Pr", "Ge", "Ge", "Cl", "Cl", "Cl", "Cl", "Cl", "Cl", "Cl", "Cl"], "frac_coords": [[0.0000, 0.0000, 0.5000], [0.0000, 0.0000, 0.0000], [0.4598, 0.4633, 0.7550], [0.5402, 0.5367, 0.2450], [0.1935, 0.7828, 0.2198], [0.6778, 0.7486, 0.0400], [0.8575, 0.2659, 0.2234], [0.8065, 0.2172, 0.7802], [0.3222, 0.2514, 0.9600], [0.1425, 0.7341, 0.7766], [0.6445, 0.7221, 0.4366], [0.3555, 0.2779, 0.5634]]}

{"formula": "KPuGe2Cl8", "functional": "GGA-PBE", "state": "relaxed", "raw_formation_energy_ev_per_atom": -1.3485, "space_group": "No. 2", "total_magnetization_mub_per_atom": 0.417, "final_energy_ev_per_atom": -4.63, "lattice": [[-5.7158, -3.1915, 2.3105], [3.0743, -5.3428, 1.4605], [1.2885, 2.8441, 8.4145]], "species": ["K", "Pu", "Ge", "Ge", "Cl", "Cl", "Cl", "Cl", "Cl", "Cl", "Cl", "Cl"], "frac_coords": [[0.0000, 0.0000, 0.5000], [0.0000, 0.0000, 0.0000], [0.4570, 0.4622, 0.7588], [0.5430, 0.5378, 0.2412], [0.1923, 0.7849, 0.2137], [0.6791, 0.7562, 0.0396], [0.8571, 0.2661, 0.2201], [0.8077, 0.2151, 0.7863], [0.3209, 0.2438, 0.9604], [0.1429, 0.7339, 0.7799], [0.6444, 0.7235, 0.4379], [0.3556, 0.2765, 0.5621]]}

{"formula": "KPuGeCl6", "functional": "GGA-PBE", "state": "relaxed", "raw_formation_energy_ev_per_atom": -1.4820, "space_group": "No. 74", "total_magnetization_mub_per_atom": 0.556, "final_energy_ev_per_atom": -4.94, "lattice": [[10.0418, 0.0000, 0.0000], [0.0000, 9.7756, 0.0000], [-5.0209, -4.8878, 7.0899]], "species": ["K", "K", "Pu", "Pu", "Ge", "Ge", "Cl", "Cl", "Cl", "Cl", "Cl", "Cl", "Cl", "Cl", "Cl", "Cl", "Cl", "Cl"], "frac_coords": [[0.7657, 0.5157, 0.5314], [0.2343, 0.4843, 0.4686], [0.5000, 0.0000, 0.5000], [0.0000, 0.0000, 0.5000], [0.5000, 0.5000, 0.0000], [0.5000, 0.0000, 0.0000], [0.4453, 0.6953, 0.8906], [0.8261, 0.0761, 0.6523], [0.8241, 0.1003, 0.2702], [0.4461, 0.6699, 0.2702], [0.4461, 0.1003, 0.2702], [0.8241, 0.6699, 0.2702], [0.5547, 0.3047, 0.1094], [0.1739, 0.9239, 0.3477], [0.1759, 0.8997, 0.7298], [0.5539, 0.3301, 0.7298], [0.5539, 0.8997, 0.7298], [0.1759, 0.3301, 0.7298]]}

{"formula": "K2RbGeCl5", "functional": "GGA-PBE", "state": "relaxed", "raw_formation_energy_ev_per_atom": -1.5433, "space_group": "No. 36", "total_magnetization_mub_per_atom": 0.000, "final_energy_ev_per_atom": -3.43, "lattice": [[-3.2377, 1.1628, -3.2452], [-2.7643, -9.4275, 2.8259], [-7.1722, 4.7591, 8.8610]], "species": ["K", "K", "K", "K", "Rb", "Rb", "Ge", "Ge", "Cl", "Cl", "Cl", "Cl", "Cl", "Cl", "Cl", "Cl", "Cl", "Cl"], "frac_coords": [[0.8719, 0.7439, 0.7988], [0.1101, 0.2202, 0.6818], [0.1281, 0.2561, 0.2988], [0.8899, 0.7798, 0.1818], [0.7800, 0.5600, 0.5103], [0.2200, 0.4400, 0.0103], [0.5280, 0.0561, 0.9519], [0.4720, 0.9439, 0.4519], [0.3819, 0.7638, 0.0019], [0.6434, 0.2868, 0.8703], [0.4871, 0.9742, 0.7643], [0.2759, 0.5517, 0.7028], [0.9502, 0.9004, 0.5419], [0.6181, 0.2362, 0.5019], [0.3566, 0.7132, 0.3703], [0.5129, 0.0258, 0.2643], [0.7241, 0.4483, 0.2028], [0.0498, 0.0996, 0.0419]]}

{"formula": "KRbGeCl4", "functional": "GGA-PBE", "state": "relaxed", "raw_formation_energy_ev_per_atom": -1.4650, "space_group": "No. 107", "total_magnetization_mub_per_atom": 0.000, "final_energy_ev_per_atom": -3.47, "lattice": [[5.2594, 0.0000, 0.0000], [0.0000, 5.2594, 0.0000], [-2.6297, -2.6297, 8.1526]], "species": ["K", "Rb", "Ge", "Cl", "Cl", "Cl", "Cl"], "frac_coords": [[0.3600, 0.3600, 0.7199], [0.6415, 0.6415, 0.2830], [0.9979, 0.9979, 0.9958], [0.9961, 0.4961, 0.9923], [0.4961, 0.9961, 0.9923], [0.8399, 0.8399, 0.6798], [0.1685, 0.1685, 0.3369]]}

{"formula": "KRb2Ge2Cl7", "functional": "GGA-PBE", "state": "relaxed", "raw_formation_energy_ev_per_atom": -1.3926, "space_group": "No. 12", "total_magnetization_mub_per_atom": 0.000, "final_energy_ev_per_atom": -3.49, "lattice": [[-3.8850, -3.4263, 1.3115], [0.3117, -2.2955, -4.8152], [7.5070, -11.3941, 3.0393]], "species": ["K", "Rb", "Rb", "Ge", "Ge", "Cl", "Cl", "Cl", "Cl", "Cl", "Cl", "Cl"], "frac_coords": [[0.0000, 0.0000, 0.0000], [0.8254, 0.8254, 0.3621], [0.1746, 0.1746, 0.6379], [0.6107, 0.6107, 0.8002], [0.3893, 0.3893, 0.1998], [0.5000, 0.5000, 0.0000], [0.2941, 0.2941, 0.3945], [0.7059, 0.7059, 0.6055], [0.9326, 0.4093, 0.1927], [0.4093, 0.9326, 0.1927], [0.5907, 0.0674, 0.8073], [0.0674, 0.5907, 0.8073]]}

{"formula": "KGeS2Cl", "functional": "GGA-PBE", "state": "relaxed", "raw_formation_energy_ev_per_atom": -0.5720, "space_group": "No. 123", "total_magnetization_mub_per_atom": 0.000, "polymorph_energy_ev_per_fu": 0.00, "final_energy_ev_per_atom": -3.74, "lattice": [[4.7367, 0.0000, 0.0000], [0.0000, 4.7367, 0.0000], [0.0000, 0.0000, 5.4558]], "species": ["S", "S", "Ge", "K", "Cl"], "frac_coords": [[0.0000, 0.5000, 0.0000], [0.5000, 0.0000, 0.0000], [0.0000, 0.0000, 0.0000], [0.5000, 0.5000, 0.5000], [0.0000, 0.0000, 0.5000]]}

{"formula": "KGeS2Cl", "functional": "GGA-PBE", "state": "relaxed", "raw_formation_energy_ev_per_atom": 0.7412, "space_group": "No. 123", "total_magnetization_mub_per_atom": 0.403, "polymorph_energy_ev_per_fu": 6.57, "final_energy_ev_per_atom": -2.42, "lattice": [[-0.1941, 5.1498, -1.9740], [-0.1511, -1.9794, -5.1491], [-5.4006, -0.1245, 0.2064]], "species": ["S", "S", "Ge", "K", "Cl"], "frac_coords": [[0.0000, 0.5000, 0.0000], [0.5000, 0.0000, 0.0000], [0.5000, 0.5000, 0.5000], [0.0000, 0.0000, 0.0000], [0.0000, 0.0000, 0.5000]]}

{"formula": "KScGeCl6", "functional": "GGA-PBE", "state": "relaxed", "raw_formation_energy_ev_per_atom": -1.6716, "space_group": "No. 163", "total_magnetization_mub_per_atom": 0.000, "final_energy_ev_per_atom": -4.24, "lattice": [[-2.5827, 3.5241, 5.2106], [5.4339, -3.9771, 0.9461], [8.2521, 10.5503, -3.0453]], "species": ["K", "K", "Sc", "Sc", "Ge", "Ge", "Cl", "Cl", "Cl", "Cl", "Cl", "Cl", "Cl", "Cl", "Cl", "Cl", "Cl", "Cl"], "frac_coords": [[0.0000, 0.0000, 0.0000], [0.0000, 0.0000, 0.5000], [0.6667, 0.3333, 0.2500], [0.3333, 0.6667, 0.7500], [0.3333, 0.6667, 0.2500], [0.6667, 0.3333, 0.7500], [0.6388, 0.6198, 0.1442], [0.9810, 0.3612, 0.1442], [0.3612, 0.9810, 0.6442], [0.0190, 0.6388, 0.8558], [0.3802, 0.3612, 0.3558], [0.9810, 0.6198, 0.3558], [0.6198, 0.9810, 0.8558], [0.6388, 0.0190, 0.3558], [0.0190, 0.3802, 0.6442], [0.3802, 0.0190, 0.1442], [0.6198, 0.6388, 0.6442], [0.3612, 0.3802, 0.8558]]}